(1)
PBE SrHoSn2, optimized geometry; ΔH_f (0 K) = -0.59 eV per atom; calculated volume = 30.07 Å³/atom; total magnetization = 0.0 μB per cell; N(E_F) = 1.5 states/eV per cell
1.0
-4.007 -0.503 0.135
0.500 -4.008 -0.102
0.267 -0.153 7.363
Sr Ho Sn
1 1 2
direct
0.500 0.500 0.500
0.500 0.500 0.000
0.000 0.000 0.789
0.000 0.000 0.211



(2)
PBE CsRb2MgAs, optimized geometry; ΔH_f (0 K) = -0.10 eV per atom; calculated volume = 53.76 Å³/atom; total magnetization = 0.4 μB per cell; N(E_F) = 4.0 states/eV per cell
1.0
-0.948 1.457 -6.911
-3.900 -5.921 -0.713
-4.374 2.739 1.178
Cs As Mg Rb
1 1 1 2
direct
0.500 0.500 0.500
0.000 0.000 0.000
0.000 0.000 0.500
0.000 0.500 0.000
0.500 0.000 0.000



(3)
PBE DyGa4Fe, optimized geometry; ΔH_f (0 K) = -0.32 eV per atom; calculated volume = 18.35 Å³/atom; total magnetization = 2.9 μB per cell; N(E_F) = 3.4 states/eV per cell
1.0
-3.545 -3.066 -0.325
-0.895 1.679 -6.080
6.934 -4.532 1.065
Dy Ga Fe
2 8 2
direct
0.207 0.207 0.415
0.793 0.793 0.585
0.846 0.346 0.692
0.609 0.351 0.218
0.000 0.183 0.000
0.391 0.134 0.782
0.154 0.654 0.308
0.391 0.649 0.782
0.000 0.817 0.000
0.609 0.866 0.218
0.740 0.500 0.000
0.260 0.500 0.000



(4)
PBE NaYTe2, optimized geometry; calculated volume = 43.36 Å³/atom; formation energy without anion corrections = -1.098 eV per atom; total magnetization = 0.0 μB per cell; N(E_F) = 0.0 states/eV per cell
1.0
-5.525 -2.628 -3.881
4.687 -3.216 -4.494
-0.504 -8.336 -0.401
Y Na Te
2 2 4
direct
0.000 0.000 0.000
0.750 0.250 0.500
0.500 0.500 0.000
0.250 0.750 0.500
0.648 0.125 0.250
0.102 0.625 0.250
0.375 0.352 0.750
0.875 0.898 0.750



(5)
PBE Ca2ZnNi, optimized geometry; ΔH_f (0 K) = -0.07 eV per atom; calculated volume = 23.62 Å³/atom; total magnetization = 0.0 μB per cell; N(E_F) = 3.8 states/eV per cell
1.0
3.436 0.015 0.000
-0.016 3.436 0.000
0.000 0.000 8.002
Ni Zn Ca
1 1 2
direct
0.000 0.000 0.568
0.500 0.500 0.680
0.000 0.000 0.927
0.500 0.500 0.325



(6)
PBE BaZrCd2Ga, optimized geometry; ΔH_f (0 K) = 0.21 eV per atom; calculated volume = 29.53 Å³/atom; total magnetization = 0.5 μB per cell; N(E_F) = 3.3 states/eV per cell
1.0
-1.525 4.963 -0.811
-5.063 -1.391 1.011
0.728 1.056 5.096
Ga Ba Zr Cd
1 1 1 2
direct
0.000 0.000 0.000
0.500 0.500 0.500
0.000 0.500 0.000
0.000 0.000 0.500
0.500 0.000 0.000